# RbNdEr4Se8 PBE-GGA optimized geometry
data_RbNdEr4Se8
_space_group_name_H-M_alt 'R 3 m'
_space_group_IT_number 160
_space_group_name_Hall 'R 3 -2"'
_cell_length_a 8.5518
_cell_length_b 8.5518
_cell_length_c 21.5868
_cell_angle_alpha 90.00
_cell_angle_beta 90.00
_cell_angle_gamma 120.00
loop_
_atom_site_label
_atom_site_fract_x
_atom_site_fract_y
_atom_site_fract_z
_atom_site_occupancy
Rb1 0.0000 0.0000 0.0000 1
Nd1 0.0000 0.0000 0.3629 1
Er1 0.0000 0.0000 0.7428 1
Er2 0.0113 0.5057 0.8703 1
Se1 0.0000 0.0000 0.1389 1
Se2 0.0000 0.0000 0.6115 1
Se3 0.0144 0.5072 0.1227 1
Se4 0.1865 0.3730 0.9418 1
# Formation energy (no corrections)   -1705 meV per atom

# Tl2CdGe2 PBE-GGA optimized geometry
data_Tl2CdGe2
_space_group_name_H-M_alt 'P 4/m b m'
_space_group_IT_number 127
_space_group_name_Hall '-P 4 2ab'
_cell_length_a 8.981
_cell_length_b 8.981
_cell_length_c 3.302
_cell_angle_alpha 90.00
_cell_angle_beta 90.00
_cell_angle_gamma 90.00
loop_
_atom_site_label
_atom_site_fract_x
_atom_site_fract_y
_atom_site_fract_z
_atom_site_occupancy
Tl1 0.189 0.311 0.000 1
Cd1 0.000 0.000 0.000 1
Ge1 0.104 0.604 0.500 1
# Excess energy over the best structure of this formula in the dataset   143 meV per atom

Number 1: VASP energy -5.41 eV per atom. Number 2: VASP energy -2.67 eV per atom.